(1)
The following is a GGA-PBE calculation of an optimized crystal structure of Ho2Tm2Tl, from Alexandria.

Cell and atoms, written as CIF:
```
data_Ho2Tm2Tl
_cell_length_a 8.101
_cell_length_b 8.101
_cell_length_c 4.657
_cell_angle_alpha 90.00
_cell_angle_beta 90.00
_cell_angle_gamma 90.00
_space_group_name_H-M_alt 'P 4/m b m'
_space_group_IT_number 127
_space_group_name_Hall '-P 4 2ab'
loop_
_atom_site_label
_atom_site_fract_x
_atom_site_fract_y
_atom_site_fract_z
Ho1 0.149 0.351 0.000
Tm1 0.150 0.650 0.500
Tl1 0.000 0.000 0.000
```

Values from the calculation:
Calculated volume = 30.56 Å³ per atom
Energy of formation = 0.078 eV per atom
Total magnetization = 0.0 μB/f.u.
E_tot = -4.01 eV per atom
ΔE to the lowest computed polymorph = 114.4 meV per atom

(2)
The following is a GGA-PBE calculation of an optimized crystal structure of Ho3TmTl2, from Alexandria.

Cell and atoms, written as CIF:
```
data_Ho3TmTl2
_cell_length_a 6.492
_cell_length_b 16.533
_cell_length_c 6.490
_cell_angle_alpha 90.00
_cell_angle_beta 90.00
_cell_angle_gamma 90.00
_space_group_name_H-M_alt 'I b a m'
_space_group_IT_number 72
_space_group_name_Hall '-I 2 2c'
loop_
_atom_site_label
_atom_site_fract_x
_atom_site_fract_y
_atom_site_fract_z
Ho1 0.000 0.000 0.250
Ho2 0.249 0.324 0.000
Tm1 0.000 0.500 0.250
Tl1 0.249 0.363 0.500
```

Values from the calculation:
Calculated volume = 29.03 Å³ per atom
Energy of formation = -0.200 eV per atom
Total magnetization = 0.7 μB/f.u.
E_tot = -4.02 eV per atom
ΔE to the lowest computed polymorph = 61.3 meV per atom

(3)
The following is a GGA-PBE calculation of an optimized crystal structure of Ho5Tm4Tl, from Alexandria.

Cell and atoms, written as CIF:
```
data_Ho5Tm4Tl
_cell_length_a 18.464
_cell_length_b 3.505
_cell_length_c 10.921
_cell_angle_alpha 90.00
_cell_angle_beta 118.80
_cell_angle_gamma 90.00
_space_group_name_H-M_alt 'C 1 2/m 1'
_space_group_IT_number 12
_space_group_name_Hall '-C 2y'
loop_
_atom_site_label
_atom_site_fract_x
_atom_site_fract_y
_atom_site_fract_z
Ho1 0.000 0.000 0.000
Ho2 0.163 0.500 0.638
Ho3 0.189 0.500 0.083
Tm1 0.027 0.500 0.759
Tm2 0.159 0.000 0.355
Tl1 0.000 0.000 0.500
```

Values from the calculation:
Calculated volume = 30.97 Å³ per atom
Energy of formation = 0.072 eV per atom
Total magnetization = 0.0 μB/f.u.
E_tot = -4.24 eV per atom
ΔE to the lowest computed polymorph = 0.0 meV per atom

(4)
The following is a GGA-PBE calculation of an optimized crystal structure of Ho7Tm12Tl, from Alexandria.

Cell and atoms, written as CIF:
```
data_Ho7Tm12Tl
_cell_length_a 7.797
_cell_length_b 8.551
_cell_length_c 10.452
_cell_angle_alpha 105.84
_cell_angle_beta 98.61
_cell_angle_gamma 111.37
_space_group_name_H-M_alt 'P -1'
_space_group_IT_number 2
_space_group_name_Hall '-P 1'
loop_
_atom_site_label
_atom_site_fract_x
_atom_site_fract_y
_atom_site_fract_z
Ho1 0.000 0.000 0.000
Ho2 0.249 0.597 0.549
Ho3 0.250 0.201 0.352
Ho4 0.251 0.801 0.152
Tm1 0.003 0.605 0.801
Tm2 0.003 0.798 0.400
Tm3 0.247 0.001 0.748
Tm4 0.251 0.401 0.948
Tm5 0.500 0.199 0.096
Tm6 0.500 0.400 0.699
Tl1 0.500 0.000 0.500
```

Values from the calculation:
Calculated volume = 29.98 Å³ per atom
Energy of formation = 0.002 eV per atom
Total magnetization = 0.0 μB/f.u.
E_tot = -4.40 eV per atom

(5)
The following is a GGA-PBE calculation of an optimized crystal structure of Ho6TmTl2, from Alexandria.

Cell and atoms, written as CIF:
```
data_Ho6TmTl2
_cell_length_a 15.228
_cell_length_b 11.422
_cell_length_c 6.097
_cell_angle_alpha 90.00
_cell_angle_beta 95.29
_cell_angle_gamma 90.00
_space_group_name_H-M_alt 'C 1 2/c 1'
_space_group_IT_number 15
_space_group_name_Hall '-C 2yc'
loop_
_atom_site_label
_atom_site_fract_x
_atom_site_fract_y
_atom_site_fract_z
Ho1 0.055 0.131 0.011
Ho2 0.121 0.354 0.312
Ho3 0.226 0.371 0.836
Tm1 0.000 0.401 0.750
Tl1 0.159 0.120 0.585
```

Values from the calculation:
Calculated volume = 29.33 Å³ per atom
Energy of formation = -0.087 eV per atom
Total magnetization = 0.0 μB/f.u.
E_tot = -4.16 eV per atom
ΔE to the lowest computed polymorph = 59.9 meV per atom

(6)
The following is a GGA-PBE calculation of an optimized crystal structure of Ho7TmTl2, from Alexandria.

Cell and atoms, written as CIF:
```
data_Ho7TmTl2
_cell_length_a 9.132
_cell_length_b 15.588
_cell_length_c 5.239
_cell_angle_alpha 90.00
_cell_angle_beta 90.00
_cell_angle_gamma 90.00
_space_group_name_H-M_alt 'C m m m'
_space_group_IT_number 65
_space_group_name_Hall '-C 2 2'
loop_
_atom_site_label
_atom_site_fract_x
_atom_site_fract_y
_atom_site_fract_z
Ho1 0.000 0.000 0.000
Ho2 0.000 0.277 0.500
Ho3 0.182 0.381 0.000
Tm1 0.000 0.500 0.500
Tl1 0.000 0.193 0.000
```

Values from the calculation:
Calculated volume = 37.29 Å³ per atom
Energy of formation = 0.369 eV per atom
Total magnetization = 0.0 μB/f.u.
E_tot = -3.76 eV per atom

(7)
The following is a GGA-PBE calculation of an optimized crystal structure of Ho4Tm3Tl5, from Alexandria.

Cell and atoms, written as CIF:
```
data_Ho4Tm3Tl5
_cell_length_a 8.840
_cell_length_b 5.616
_cell_length_c 14.987
_cell_angle_alpha 90.00
_cell_angle_beta 106.27
_cell_angle_gamma 90.00
_space_group_name_H-M_alt 'C 1 2/m 1'
_space_group_IT_number 12
_space_group_name_Hall '-C 2y'
loop_
_atom_site_label
_atom_site_fract_x
_atom_site_fract_y
_atom_site_fract_z
Ho1 0.065 0.000 0.122
Ho2 0.171 0.000 0.355
Tm1 0.000 0.500 0.500
Tm2 0.196 0.000 0.731
Tl1 0.000 0.000 0.500
Tl2 0.050 0.500 0.748
Tl3 0.187 0.500 0.039
```

Values from the calculation:
Calculated volume = 29.76 Å³ per atom
Energy of formation = 0.001 eV per atom
Total magnetization = 0.2 μB/f.u.
E_tot = -3.63 eV per atom

(8)
The following is a GGA-PBE calculation of an optimized crystal structure of Ho2Tm4Tl, from Alexandria.

Cell and atoms, written as CIF:
```
data_Ho2Tm4Tl
_cell_length_a 16.211
_cell_length_b 3.432
_cell_length_c 8.469
_cell_angle_alpha 90.00
_cell_angle_beta 116.83
_cell_angle_gamma 90.00
_space_group_name_H-M_alt 'C 1 2/m 1'
_space_group_IT_number 12
_space_group_name_Hall '-C 2y'
loop_
_atom_site_label
_atom_site_fract_x
_atom_site_fract_y
_atom_site_fract_z
Ho1 0.219 0.000 0.142
Tm1 0.076 0.000 0.705
Tm2 0.138 0.500 0.410
Tl1 0.000 0.000 0.000
```

Values from the calculation:
Calculated volume = 30.04 Å³ per atom
Energy of formation = 0.014 eV per atom
Total magnetization = 0.0 μB/f.u.
E_tot = -4.19 eV per atom
ΔE to the lowest computed polymorph = 47.4 meV per atom

(9)
The following is a GGA-PBE calculation of an optimized crystal structure of Ho3TmTl2, from Alexandria.

Cell and atoms, written as CIF:
```
data_Ho3TmTl2
_cell_length_a 5.059
_cell_length_b 9.930
_cell_length_c 6.754
_cell_angle_alpha 90.00
_cell_angle_beta 90.00
_cell_angle_gamma 90.00
_space_group_name_H-M_alt 'P m c 21'
_space_group_IT_number 26
_space_group_name_Hall 'P 2c -2'
loop_
_atom_site_label
_atom_site_fract_x
_atom_site_fract_y
_atom_site_fract_z
Ho1 0.000 0.040 0.000
Ho2 0.000 0.314 0.372
Ho3 0.500 0.189 0.720
Tm1 0.500 0.460 0.091
Tl1 0.000 0.366 0.840
Tl2 0.500 0.134 0.253
```

Values from the calculation:
Calculated volume = 28.28 Å³ per atom
Energy of formation = -0.261 eV per atom
Total magnetization = 0.0 μB/f.u.
E_tot = -4.08 eV per atom
ΔE to the lowest computed polymorph = 0.0 meV per atom

(10)
The following is a GGA-PBE calculation of an optimized crystal structure of Ho6Tm2Tl, from Alexandria.

Cell and atoms, written as CIF:
```
data_Ho6Tm2Tl
_cell_length_a 10.527
_cell_length_b 10.527
_cell_length_c 4.854
_cell_angle_alpha 90.00
_cell_angle_beta 90.00
_cell_angle_gamma 90.00
_space_group_name_H-M_alt 'P 42/m n m'
_space_group_IT_number 136
_space_group_name_Hall '-P 4n 2n'
loop_
_atom_site_label
_atom_site_fract_x
_atom_site_fract_y
_atom_site_fract_z
Ho1 0.000 0.336 0.000
Ho2 0.162 0.162 0.500
Tm1 0.163 0.837 0.500
Tl1 0.000 0.000 0.000
```

Values from the calculation:
Calculated volume = 29.88 Å³ per atom
Energy of formation = -0.039 eV per atom
Total magnetization = 0.0 μB/f.u.
E_tot = -4.35 eV per atom
ΔE to the lowest computed polymorph = 0.0 meV per atom

(11)
The following is a GGA-PBE calculation of an optimized crystal structure of HoTm4Tl2, from Alexandria.

Cell and atoms, written as CIF:
```
data_HoTm4Tl2
_cell_length_a 6.766
_cell_length_b 11.806
_cell_length_c 10.527
_cell_angle_alpha 90.00
_cell_angle_beta 90.00
_cell_angle_gamma 90.00
_space_group_name_H-M_alt 'C m c e'
_space_group_IT_number 64
_space_group_name_Hall '-C 2ac 2'
loop_
_atom_site_label
_atom_site_fract_x
_atom_site_fract_y
_atom_site_fract_z
Ho1 0.000 0.000 0.000
Tm1 0.000 0.047 0.329
Tm2 0.250 0.191 0.750
Tl1 0.000 0.239 0.517
```

Values from the calculation:
Calculated volume = 30.03 Å³ per atom
Energy of formation = -0.069 eV per atom
Total magnetization = 0.0 μB/f.u.
E_tot = -3.95 eV per atom
ΔE to the lowest computed polymorph = 0.0 meV per atom

(12)
The following is a GGA-PBE calculation of an optimized crystal structure of Ho4Tm7Tl, from Alexandria.

Cell and atoms, written as CIF:
```
data_Ho4Tm7Tl
_cell_length_a 12.019
_cell_length_b 5.777
_cell_length_c 12.043
_cell_angle_alpha 90.00
_cell_angle_beta 113.29
_cell_angle_gamma 90.00
_space_group_name_H-M_alt 'C 1 2/m 1'
_space_group_IT_number 12
_space_group_name_Hall '-C 2y'
loop_
_atom_site_label
_atom_site_fract_x
_atom_site_fract_y
_atom_site_fract_z
Ho1 0.122 0.000 0.268
Ho2 0.141 0.500 0.117
Tm1 0.000 0.000 0.500
Tm2 0.102 0.500 0.782
Tm3 0.131 0.000 0.974
Tm4 0.202 0.500 0.418
Tl1 0.000 0.500 0.500
```

Values from the calculation:
Calculated volume = 32.00 Å³ per atom
Energy of formation = 0.214 eV per atom
Total magnetization = 0.0 μB/f.u.
E_tot = -4.12 eV per atom